No. 1
Here is an optimized crystal structure of Ba3Li6Cd5 from the Alexandria database. Energies are from PBE.

## Properties
Space-group type = Pmmn, No. 59
Calculated total energy = -24.6 eV/f.u.

a b c (Å): 5.072 10.497 14.745
angles (deg): 90.00 90.00 90.00
Sites, in units of the cell vectors:
Ba1 0.000 0.252 0.703
Cd1 0.500 0.469 0.380
Li1 0.000 0.959 0.132
Cd2 0.000 0.762 0.000
Li2 0.000 0.445 0.500
Li3 0.500 0.407 0.824
Li4 0.500 0.041 0.368
Cd3 0.000 0.904 0.335
Cd4 0.500 0.096 0.165
Ba2 0.500 0.748 0.203
Ba3 0.500 0.760 0.500
Li5 0.500 0.555 0.000
Li6 0.000 0.593 0.676
Li7 0.500 0.041 0.632
Li8 0.000 0.593 0.324
Li9 0.000 0.959 0.868
Cd5 0.000 0.531 0.120
Cd6 0.500 0.096 0.835
Cd7 0.000 0.904 0.665
Ba4 0.000 0.252 0.297
Ba5 0.000 0.240 0.000
Li10 0.500 0.938 0.000
Ba6 0.500 0.748 0.797
Li11 0.500 0.407 0.176
Cd8 0.500 0.469 0.620
Cd9 0.000 0.531 0.880
Cd10 0.500 0.238 0.500
Li12 0.000 0.062 0.500

No. 2
Here is an optimized crystal structure of CaAl2O4 from the Alexandria database. Energies are from PBE.

## Properties
E_form (uncorrected) = -3.039 eV per atom
Space-group type = P2_1/m, No. 11

a b c (Å): 3.806 5.608 7.119
angles (deg): 78.63 90.00 90.00
Sites, in units of the cell vectors:
O1 0.250 0.858 0.071
Al1 0.250 0.154 0.871
O2 0.750 0.542 0.304
O3 0.250 0.458 0.696
O4 0.750 0.142 0.929
Al2 0.250 0.656 0.887
O5 0.750 0.057 0.307
Al3 0.750 0.846 0.129
O6 0.750 0.643 0.926
Ca1 0.250 0.269 0.428
Ca2 0.750 0.731 0.572
O7 0.250 0.943 0.693
O8 0.250 0.357 0.074
Al4 0.750 0.344 0.113

No. 3
Here is an optimized crystal structure of CoRu2W from the Alexandria database. Energies are from PBE.

## Properties
Space-group type = I-4m2, No. 119
Calculated total energy = -38.5 eV/f.u.

a b c (Å): 4.648 4.648 4.648
angles (deg): 131.96 131.96 70.29
Sites, in units of the cell vectors:
Ru1 0.250 0.750 0.500
Ru2 0.000 0.000 0.000
W1 0.500 0.500 0.000
Co1 0.750 0.250 0.500

No. 4
Here is an optimized crystal structure of NaCu6Si4 from the Alexandria database. Energies are from PBE.

## Properties
E_form (uncorrected) = 0.156 eV per atom
Space-group type = I-42m, No. 121

a b c (Å): 6.220 6.220 6.220
angles (deg): 89.20 120.47 120.47
Sites, in units of the cell vectors:
Cu1 0.612 0.130 0.130
Cu2 0.500 0.000 0.500
Cu3 0.388 0.518 0.518
Na1 0.000 0.000 0.000
Cu4 0.500 0.500 0.000
Cu5 0.000 0.482 0.870
Si1 0.000 0.586 0.226
Si2 0.640 0.414 0.414
Si3 0.360 0.774 0.774
Si4 0.000 0.226 0.586
Cu6 0.000 0.870 0.482

What did the first record say?
Here is an optimized crystal structure of Ba3Li6Cd5 from the Alexandria database. Energies are from PBE.

## Properties
Space-group type = Pmmn, No. 59
Calculated total energy = -24.6 eV/f.u.

a b c (Å): 5.072 10.497 14.745
angles (deg): 90.00 90.00 90.00
Sites, in units of the cell vectors:
Ba1 0.000 0.252 0.703
Cd1 0.500 0.469 0.380
Li1 0.000 0.959 0.132
Cd2 0.000 0.762 0.000
Li2 0.000 0.445 0.500
Li3 0.500 0.407 0.824
Li4 0.500 0.041 0.368
Cd3 0.000 0.904 0.335
Cd4 0.500 0.096 0.165
Ba2 0.500 0.748 0.203
Ba3 0.500 0.760 0.500
Li5 0.500 0.555 0.000
Li6 0.000 0.593 0.676
Li7 0.500 0.041 0.632
Li8 0.000 0.593 0.324
Li9 0.000 0.959 0.868
Cd5 0.000 0.531 0.120
Cd6 0.500 0.096 0.835
Cd7 0.000 0.904 0.665
Ba4 0.000 0.252 0.297
Ba5 0.000 0.240 0.000
Li10 0.500 0.938 0.000
Ba6 0.500 0.748 0.797
Li11 0.500 0.407 0.176
Cd8 0.500 0.469 0.620
Cd9 0.000 0.531 0.880
Cd10 0.500 0.238 0.500
Li12 0.000 0.062 0.500